Crystalline Pm2HoRh at its relaxed geometry, computed with PBE.

## Properties
Uncorrected energy in eV per atom: -5.642
DOS at the Fermi energy in states/eV per atom: 1.4497
Calculated formation energy in eV/atom: -0.28

a = 3.5855 Å, b = 3.5855 Å, c = 8.6993 Å
α = 90.00°, β = 90.00°, γ = 90.00°
Closest atoms and distances in Å follow each position.
Space group P4/mmm (No. 123)
Inequivalent atoms, fractional coordinates:
Pm  0.0000  0.0000  0.1916 (multiplicity 2)  4 Rh 3.03, 1 Pm 3.33
Ho  0.5000  0.5000  0.5000 (multiplicity 1)  4 Ho 3.59, 8 Pm 3.69
Rh  0.5000  0.5000  0.0000 (multiplicity 1)  8 Pm 3.03

Crystalline PmHoRh at its relaxed geometry, computed with PBE.

## Properties
Uncorrected energy in eV per atom: -6.073
DOS at the Fermi energy in states/eV per atom: 0.9724
Calculated formation energy in eV/atom: -0.51

a = 3.4745 Å, b = 6.8556 Å, c = 7.0332 Å
α = 105.78°, β = 90.11°, γ = 104.59°
Closest atoms and distances in Å follow each position.
Space group P-1 (No. 2)
Inequivalent atoms, fractional coordinates:
Pm  0.1305  0.2610  0.0663 (multiplicity 2)  4 Rh 2.99-3.11, 1 Pm 3.32
Ho  0.1290  0.2583  0.5612 (multiplicity 2)  4 Rh 2.89-2.92
Rh  0.4937  0.9879  0.2635 (multiplicity 2)  4 Ho 2.89-2.92, 4 Pm 2.99-3.11

Crystalline PmHo3Rh4 at its relaxed geometry, computed with PBE.

## Properties
Uncorrected energy in eV per atom: -6.828
DOS at the Fermi energy in states/eV per atom: 0.5869
Calculated formation energy in eV/atom: -0.84

a = 4.8892 Å, b = 4.8892 Å, c = 6.7961 Å
α = 90.00°, β = 90.00°, γ = 90.00°
Closest atoms and distances in Å follow each position.
Space group P4/mmm (No. 123)
Inequivalent atoms, fractional coordinates:
Pm  0.0000  0.0000  0.0000 (multiplicity 1)  8 Rh 3.00
Ho  0.0000  0.0000  0.5000 (multiplicity 1)  8 Rh 2.96
Ho  0.5000  0.5000  0.0000 (multiplicity 1)  8 Rh 3.00
Ho  0.5000  0.5000  0.5000 (multiplicity 1)  8 Rh 2.96
Rh  0.0000  0.5000  0.2547 (multiplicity 4)  6 Ho 2.96-3.00, 2 Pm 3.00

Crystalline PmHo3Rh8 at its relaxed geometry, computed with PBE.

## Properties
Uncorrected energy in eV per atom: -7.148
DOS at the Fermi energy in states/eV per atom: 0.6052
Calculated formation energy in eV/atom: -0.71

a = 5.3411 Å, b = 5.3411 Å, c = 8.7441 Å
α = 90.00°, β = 90.00°, γ = 120.00°
Closest atoms and distances in Å follow each position.
Space group P3m1 (No. 156)
Inequivalent atoms, fractional coordinates:
Pm  0.0000  0.0000  0.0000 (multiplicity 1)  12 Rh 3.12-3.18, 4 Ho 3.21-3.30
Ho  0.0000  0.0000  0.3672 (multiplicity 1)  12 Rh 3.11-3.14, 1 Pm 3.21, 3 Ho 3.29
Ho  0.6667  0.3333  0.4985 (multiplicity 1)  12 Rh 3.11-3.14, 4 Ho 3.20-3.29
Ho  0.6667  0.3333  0.8641 (multiplicity 1)  12 Rh 3.12-3.19, 1 Ho 3.20, 3 Pm 3.30
Rh  0.1646  0.3292  0.6805 (multiplicity 3)  6 Rh 2.64-2.70
Rh  0.3333  0.6667  0.4326 (multiplicity 1)  6 Rh 2.67
Rh  0.3333  0.6667  0.9319 (multiplicity 1)  6 Rh 2.70-2.71
Rh  0.5022  0.0044  0.1853 (multiplicity 3)  6 Rh 2.64-2.71

Crystalline Pm3HoRh at its relaxed geometry, computed with PBE.

## Properties
Uncorrected energy in eV per atom: -5.511
DOS at the Fermi energy in states/eV per atom: 1.2246
Calculated formation energy in eV/atom: -0.27

a = 9.5052 Å, b = 7.3622 Å, c = 8.8554 Å
α = 90.00°, β = 90.00°, γ = 90.00°
Closest atoms and distances in Å follow each position.
Space group Ima2 (No. 46)
Inequivalent atoms, fractional coordinates:
Pm  0.0407  0.2493  0.0000 (multiplicity 8)  1 Rh 2.76
Pm  0.2500  0.5110  0.2491 (multiplicity 4)  2 Rh 2.82-2.83
Ho  0.2500  0.5241  0.7510 (multiplicity 4)  2 Rh 2.77
Rh  0.2500  0.7477  0.5000 (multiplicity 4)  4 Pm 2.76-2.83, 2 Ho 2.77

Crystalline PmHo5Rh6 at its relaxed geometry, computed with PBE.

## Properties
Uncorrected energy in eV per atom: -6.843
DOS at the Fermi energy in states/eV per atom: 0.6034
Calculated formation energy in eV/atom: -0.86

a = 4.8338 Å, b = 14.5295 Å, c = 6.8882 Å
α = 90.00°, β = 90.00°, γ = 90.00°
Closest atoms and distances in Å follow each position.
Space group Cmmm (No. 65)
Inequivalent atoms, fractional coordinates:
Pm  0.0000  0.0000  0.0000 (multiplicity 2)  8 Rh 2.99-3.00
Ho  0.0000  0.0000  0.5000 (multiplicity 2)  8 Rh 2.94-2.98
Ho  0.0000  0.3322  0.0000 (multiplicity 4)  8 Rh 2.95-3.01
Ho  0.0000  0.3331  0.5000 (multiplicity 4)  8 Rh 2.94-2.96
Rh  0.0000  0.1685  0.2524 (multiplicity 8)  7 Ho 2.94-2.98, 1 Pm 3.00
Rh  0.0000  0.5000  0.2560 (multiplicity 4)  6 Ho 2.94-3.01, 2 Pm 2.99